No. 1
ZrMoAs2: PBEsol geometry, SCAN.

Output
Its energy of formation is -204 meV/atom. Its space group is I-4m2, No. 119. The calculation puts the distance to the lowest polymorph of the same formula at 0.000 eV per atom. The value obtained for the density of states at the Fermi level is 4.1 states/eV per cell.

```
4
Lattice="-2.300 -1.854 -2.212 2.285 0.558 -2.843 2.438 -3.683 3.630" Properties=species:S:1:pos:R:3 pbc="T T T"
Mo -0.008 -0.648 -2.528
Zr 2.357 -1.887 -0.870
As 0.000 0.000 0.000
As 0.065 -3.092 -0.555
```

***

No. 2
RbWS2N: PBEsol geometry, SCAN.

Output
Its space group is P4/mmm, No. 123. The raw formation energy comes out at 2.886 eV/atom. The value obtained for the density of states at the Fermi level is 4.7 states/eV per cell.

```
5
Lattice="-1.876 1.347 3.381 -2.729 -4.514 0.283 3.821 -2.123 2.966" Properties=species:S:1:pos:R:3 pbc="T T T"
N -0.938 0.673 1.691
S 1.910 -1.062 1.483
S -1.364 -2.257 0.142
W -0.392 -2.645 3.315
Rb 0.000 0.000 0.000
```